(1)
Here is an optimized crystal structure of NaLiI2 from Alexandria via LeMat-Bulk. Energies are from GGA-PBEsol.

a = 6.8897 Å, b = 6.8897 Å, c = 7.9104 Å
α = 115.82°, β = 115.82°, γ = 90.00°
Sites, in units of the cell vectors:
1 Na 0.0000 0.0000 0.0000
2 Li 0.5000 0.5000 0.0000
3 I 0.8369 0.3750 0.2500
4 I 0.4131 0.8750 0.2500
5 Na 0.2500 0.7500 0.5000
6 I 0.6250 0.5869 0.7500
7 Li 0.7500 0.2500 0.5000
8 I 0.1250 0.1631 0.7500

Summary:
As for the total energy: -11.62 eV per formula unit. The calculation puts the formation energy without anion corrections at -1.1804 eV per atom. As for the total magnetic moment: 0.000 μB/cell.

=====

(2)
Here is an optimized crystal structure of Cu2HgI4 from Alexandria via LeMat-Bulk. Energies are from GGA-PBEsol.

a = 5.9827 Å, b = 5.9827 Å, c = 6.2462 Å
α = 90.00°, β = 90.00°, γ = 90.00°
Sites, in units of the cell vectors:
1 Hg 0.0000 0.0000 0.0000
2 Cu 0.5000 0.0000 0.5000
3 Cu 0.0000 0.5000 0.5000
4 I 0.2693 0.7307 0.7341
5 I 0.7307 0.2693 0.7341
6 I 0.7307 0.7307 0.2659
7 I 0.2693 0.2693 0.2659

Summary:
As for the total energy: -17.62 eV per formula unit. The calculation puts the formation energy without anion corrections at -0.1882 eV per atom. As for the total magnetic moment: 0.000 μB/cell.

=====

(3)
Here is an optimized crystal structure of BIrN2F from Alexandria via LeMat-Bulk. Energies are from GGA-PBEsol.

a = 3.7520 Å, b = 3.7520 Å, c = 4.3896 Å
α = 90.00°, β = 90.00°, γ = 90.00°
Sites, in units of the cell vectors:
1 Ir 0.0000 0.0000 0.0000
2 N 0.0000 0.5000 0.0000
3 B 0.5000 0.5000 0.5000
4 N 0.5000 0.0000 0.0000
5 F 0.0000 0.0000 0.5000

Summary:
As for the total energy: -29.44 eV per formula unit. The calculation puts the formation energy without anion corrections at 1.2765 eV per atom. As for the total magnetic moment: 0.000 μB/cell.

=====

(4)
Here is an optimized crystal structure of ZrNb2Re from Alexandria via LeMat-Bulk. Energies are from GGA-PBEsol.

a = 4.6053 Å, b = 4.6053 Å, c = 4.6053 Å
α = 60.00°, β = 60.00°, γ = 60.00°
Sites, in units of the cell vectors:
1 Re 0.5000 0.5000 0.5000
2 Zr 0.0000 0.0000 0.0000
3 Nb 0.7500 0.7500 0.7500
4 Nb 0.2500 0.2500 0.2500

Summary:
As for the total energy: -44.47 eV per formula unit. The formation energy comes out at -102.0 meV/atom. As for the total magnetic moment: 0.000 μB/cell.

=====

(5)
Here is an optimized crystal structure of BeIn4Au from Alexandria via LeMat-Bulk. Energies are from GGA-PBEsol.

a = 5.8647 Å, b = 5.8647 Å, c = 5.8647 Å
α = 60.00°, β = 60.00°, γ = 60.00°
Sites, in units of the cell vectors:
1 In 0.3750 0.3750 0.3750
2 Au 0.7500 0.7500 0.7500
3 In 0.3750 0.8749 0.3750
4 In 0.8749 0.3750 0.3750
5 Be 0.0000 0.0000 0.0000
6 In 0.3750 0.3750 0.8749

Summary:
As for the total energy: -15.99 eV per formula unit. The formation energy comes out at 643.7 meV/atom. As for the total magnetic moment: 0.000 μB/cell.